No. 1
A relaxed NdGdGa4Pt2 crystal. Source: the Open Quantum Materials Database, functional PBE.

```
data_NdGdGa4Pt2
_chemical_formula_sum 'Nd2 Gd2 Ga8 Pt4'
_cell_length_a 6.730
_cell_length_b 4.427
_cell_length_c 10.380
_cell_angle_alpha 90.00
_cell_angle_beta 90.00
_cell_angle_gamma 90.00
_space_group_name_H-M_alt 'A m m 2'
_space_group_IT_number 38
_space_group_name_Hall 'A 2 -2'
loop_
_atom_site_label
_atom_site_type_symbol
_atom_site_fract_x
_atom_site_fract_y
_atom_site_fract_z
Nd1 Nd 0.000 0.000 0.000
Gd1 Gd 0.500 0.000 0.832
Ga1 Ga 0.198 0.000 0.285
Ga2 Ga 0.306 0.000 0.550
Pt1 Pt 0.000 0.000 0.712
Pt2 Pt 0.500 0.000 0.121
```

crystal system: orthorhombic

No. 2
A relaxed PrNdBi2S2 crystal. Source: the Open Quantum Materials Database, functional PBE.

```
data_PrNdBi2S2
_chemical_formula_sum 'Pr1 Nd1 Bi2 S2'
_cell_length_a 4.278
_cell_length_b 4.278
_cell_length_c 9.003
_cell_angle_alpha 90.00
_cell_angle_beta 90.00
_cell_angle_gamma 90.00
_space_group_name_H-M_alt 'P 4 m m'
_space_group_IT_number 99
_space_group_name_Hall 'P 4 -2'
loop_
_atom_site_label
_atom_site_type_symbol
_atom_site_fract_x
_atom_site_fract_y
_atom_site_fract_z
Pr1 Pr 0.000 0.000 0.000
Nd1 Nd 0.500 0.500 0.628
Bi1 Bi 0.000 0.500 0.315
S1 S 0.000 0.000 0.684
S2 S 0.500 0.500 0.943
```

crystal system: tetragonal

No. 3
A relaxed Lu4Sb3Mo2C3 crystal. Source: the Open Quantum Materials Database, functional PBE.

```
data_Lu4Sb3Mo2C3
_chemical_formula_sum 'Lu16 Sb12 Mo8 C12'
_cell_length_a 10.284
_cell_length_b 6.010
_cell_length_c 14.372
_cell_angle_alpha 90.00
_cell_angle_beta 103.07
_cell_angle_gamma 90.00
_space_group_name_H-M_alt 'C 1 2/c 1'
_space_group_IT_number 15
_space_group_name_Hall '-C 2yc'
loop_
_atom_site_label
_atom_site_type_symbol
_atom_site_fract_x
_atom_site_fract_y
_atom_site_fract_z
Lu1 Lu 0.113 0.075 0.092
Lu2 Lu 0.215 0.088 0.408
Sb1 Sb 0.000 0.130 0.750
Sb2 Sb 0.153 0.429 0.251
Mo1 Mo 0.068 0.410 0.927
C1 C 0.077 0.270 0.501
C2 C 0.250 0.250 0.000
```

crystal system: monoclinic

No. 4
A relaxed Be2GaNi crystal. Source: the Open Quantum Materials Database, functional PBE.

```
data_Be2GaNi
_chemical_formula_sum 'Be8 Ga4 Ni4'
_cell_length_a 5.496
_cell_length_b 5.496
_cell_length_c 5.496
_cell_angle_alpha 90.00
_cell_angle_beta 90.00
_cell_angle_gamma 90.00
_space_group_name_H-M_alt 'F -4 3 m'
_space_group_IT_number 216
_space_group_name_Hall 'F -4 2 3'
loop_
_atom_site_label
_atom_site_type_symbol
_atom_site_fract_x
_atom_site_fract_y
_atom_site_fract_z
Be1 Be 0.000 0.000 0.000
Be2 Be 0.250 0.250 0.250
Ga1 Ga 0.250 0.250 0.750
Ni1 Ni 0.000 0.000 0.500
```

crystal system: cubic

No. 5
A relaxed DyYCSe crystal. Source: the Open Quantum Materials Database, functional PBE.

```
data_DyYCSe
_chemical_formula_sum 'Dy2 Y2 C2 Se2'
_cell_length_a 3.7619
_cell_length_b 3.7619
_cell_length_c 13.2980
_cell_angle_alpha 90.00
_cell_angle_beta 90.00
_cell_angle_gamma 120.00
_space_group_name_H-M_alt 'P -3 m 1'
_space_group_IT_number 164
_space_group_name_Hall '-P 3 2"'
loop_
_atom_site_label
_atom_site_type_symbol
_atom_site_fract_x
_atom_site_fract_y
_atom_site_fract_z
Dy1 Dy 0.3333 0.6667 0.1002
Y1 Y 0.3333 0.6667 0.3998
C1 C 0.0000 0.0000 0.0000
C2 C 0.0000 0.0000 0.5000
Se1 Se 0.3333 0.6667 0.7500
```

crystal system: trigonal

No. 6
A relaxed LiAcPm crystal. Source: the Open Quantum Materials Database, functional PBE.

```
data_LiAcPm
_chemical_formula_sum 'Li4 Ac4 Pm4'
_cell_length_a 7.529
_cell_length_b 7.529
_cell_length_c 7.529
_cell_angle_alpha 90.00
_cell_angle_beta 90.00
_cell_angle_gamma 90.00
_space_group_name_H-M_alt 'F -4 3 m'
_space_group_IT_number 216
_space_group_name_Hall 'F -4 2 3'
loop_
_atom_site_label
_atom_site_type_symbol
_atom_site_fract_x
_atom_site_fract_y
_atom_site_fract_z
Li1 Li 0.000 0.000 0.000
Ac1 Ac 0.250 0.250 0.750
Pm1 Pm 0.250 0.250 0.250
```

energy relative to the lowest polymorph listed for this composition: 0.000 eV per atom
crystal system: cubic

Total DFT energy (no corrections), record by record: -5.109; -5.643; -7.113; -4.140; -7.098; -3.146 eV/atom
Size of the total moment, record by record: 0.008; 0.005; 0.003; 0.000; 0.010; 0.769 μB per formula unit